Entry 1:
VASP calculation (PBE with a Hubbard U) on an optimized crystal structure of K2CoRhO4.

The structure in CIF format:
```
data_K2CoRhO4
_symmetry_space_group_name_H-M 'P 1 2/m 1'
_symmetry_Int_Tables_number 10
_cell_length_a 5.417
_cell_length_b 3.131
_cell_length_c 6.084
_cell_angle_alpha 90.00
_cell_angle_beta 107.26
_cell_angle_gamma 90.00
loop_
_symmetry_equiv_pos_as_xyz
'x,y,z'
'-x,-y,-z'
'-x,y,-z'
'x,-y,z'
loop_
_atom_site_label
_atom_site_fract_x
_atom_site_fract_y
_atom_site_fract_z
K1 0.000 0.000 0.000
K2 0.500 0.500 0.000
Co1 0.000 0.500 0.500
Rh1 0.500 0.000 0.500
O1 0.210 0.000 0.666
O2 0.263 0.500 0.333
```

***

Entry 2:
VASP calculation (PBE with a Hubbard U) on an optimized crystal structure of KCoRhO4.

The structure in CIF format:
```
data_KCoRhO4
_symmetry_space_group_name_H-M 'P 1 21/m 1'
_symmetry_Int_Tables_number 11
_cell_length_a 5.559
_cell_length_b 5.504
_cell_length_c 6.964
_cell_angle_alpha 90.00
_cell_angle_beta 103.52
_cell_angle_gamma 90.00
loop_
_symmetry_equiv_pos_as_xyz
'x,y,z'
'-x,-y,-z'
'-x,y+1/2,-z'
'x,-y+1/2,z'
loop_
_atom_site_label
_atom_site_fract_x
_atom_site_fract_y
_atom_site_fract_z
K1 0.161 0.250 0.104
Co1 0.393 0.250 0.668
Rh1 0.142 0.750 0.456
O1 0.130 0.014 0.675
O2 0.264 0.750 0.206
O3 0.488 0.750 0.572
```

***

Entry 3:
VASP calculation (PBE with a Hubbard U) on an optimized crystal structure of KCoRh2O.

The structure in CIF format:
```
data_KCoRh2O
_symmetry_space_group_name_H-M 'P 4/m m m'
_symmetry_Int_Tables_number 123
_symmetry_space_group_name_Hall '-P 4 2'
_cell_length_a 4.501
_cell_length_b 4.501
_cell_length_c 6.324
_cell_angle_alpha 90.00
_cell_angle_beta 90.00
_cell_angle_gamma 90.00
loop_
_atom_site_label
_atom_site_fract_x
_atom_site_fract_y
_atom_site_fract_z
K1 0.000 0.000 0.000
Co1 0.000 0.000 0.500
Rh1 0.000 0.500 0.500
O1 0.500 0.500 0.000
```

***

Entry 4:
VASP calculation (PBE with a Hubbard U) on an optimized crystal structure of KCoRuO4.

The structure in CIF format:
```
data_KCoRuO4
_symmetry_space_group_name_H-M 'P 1 21/m 1'
_symmetry_Int_Tables_number 11
_cell_length_a 5.684
_cell_length_b 5.367
_cell_length_c 6.900
_cell_angle_alpha 90.00
_cell_angle_beta 104.18
_cell_angle_gamma 90.00
loop_
_symmetry_equiv_pos_as_xyz
'x,y,z'
'-x,-y,-z'
'-x,y+1/2,-z'
'x,-y+1/2,z'
loop_
_atom_site_label
_atom_site_fract_x
_atom_site_fract_y
_atom_site_fract_z
K1 0.168 0.250 0.094
Co1 0.395 0.250 0.659
Ru1 0.144 0.750 0.463
O1 0.120 0.010 0.669
O2 0.259 0.750 0.216
O3 0.484 0.750 0.583
```

***

V values (in Å³ per atom) by entry order: 12.3 14.8 25.6 14.6.
Final energy values (in eV/f.u.) by entry order: -42.989 -38.852 -19.549 -42.210.
Total moment values (in μB/atom) by entry order: 0.000 0.266 1.137 0.404.